First-principles (GGA-PBE) data for crystalline TiMnS2 at its relaxed geometry, as listed in Alexandria.

a = 3.430 Å, b = 3.430 Å, c = 6.516 Å
α = 74.74°, β = 74.74°, γ = 60.00°
Site moments in Bohr magnetons follow the coordinates.
Positions (direct):
S  0.249  0.249  0.254  0.04
Mn  0.667  0.667  0.000  3.99
Ti  0.500  0.500  0.499  0.33
S  0.084  0.084  0.748  0.05

Calculated values
formation energy without anion corrections	-928	meV/atom
space group	R3m (160)
ΔE to the lowest computed polymorph	0	meV per atom

***

First-principles (GGA-PBE) data for crystalline LiLa2Cr at its relaxed geometry, as listed in Alexandria.

a = 5.246 Å, b = 5.246 Å, c = 5.246 Å
α = 120.19°, β = 120.19°, γ = 89.68°
Site moments in Bohr magnetons follow the coordinates.
Positions (direct):
La  0.000  0.000  0.000  -0.14
Cr  0.750  0.250  0.500  -3.74
La  0.250  0.750  0.500  0.03
Li  0.500  0.500  0.000  0.00

Calculated values
space group	I-4m2 (119)
E_form	0.353	eV per atom

***

First-principles (GGA-PBE) data for crystalline Dy2LuBe at its relaxed geometry, as listed in Alexandria.

a = 3.386 Å, b = 3.386 Å, c = 11.482 Å
α = 81.52°, β = 81.52°, γ = 60.00°
Positions (direct):
Dy  0.085  0.085  0.745
Lu  0.500  0.500  0.500
Be  0.000  0.000  0.000
Dy  0.915  0.915  0.255

Calculated values
space group	R-3m (166)
E_form	0.672	eV per atom
ΔE to the lowest computed polymorph	599	meV per atom

***

no.,E (eV/cell)
1,-29.03
2,-19.98
3,-14.76